[1]
First-principles (GGA-PBEsol) data for KAu2Cl after structural relaxation, as listed in the Alexandria database.

**E above lowest polymorph**: 20 meV per atom
**SG**: No. 99

abc: 3.764 3.764 7.371
angles: 90.00 90.00 90.00
Fractional coordinates of all 4 atoms:
K1 0.500 0.500 0.692
Au1 0.000 0.000 0.156
Au2 0.500 0.500 0.126
Cl1 0.000 0.000 0.525

=====

[2]
First-principles (GGA-PBEsol) data for Ga3CuCl after structural relaxation, as listed in the Alexandria database.

**Total DFT energy (no corrections)**: -12.874 eV for the cell shown
**SG**: No. 221

abc: 5.116 5.116 5.116
angles: 90.00 90.00 90.00
Fractional coordinates of all 5 atoms:
Cu1 0.500 0.500 0.500
Ga1 0.000 0.500 0.000
Ga2 0.000 0.000 0.500
Ga3 0.500 0.000 0.000
Cl1 0.000 0.000 0.000

=====

[3]
First-principles (GGA-PBEsol) data for LaBeP after structural relaxation, as listed in the Alexandria database.

**Formation energy**: -1.005 eV per atom
**SG**: No. 187

abc: 3.752 3.752 4.418
angles: 90.00 90.00 120.00
Fractional coordinates of all 3 atoms:
P1 0.333 0.667 0.500
La1 0.667 0.333 0.000
Be1 0.000 0.000 0.500

=====

[4]
First-principles (GGA-PBEsol) data for LaNiSe2 after structural relaxation, as listed in the Alexandria database.

**Total DFT energy (no corrections)**: -21.086 eV for the cell shown
**SG**: No. 216

abc: 4.844 4.844 4.844
angles: 60.00 60.00 60.00
Site moments in Bohr magnetons follow the coordinates.
Fractional coordinates of all 4 atoms:
La1 0.500 0.500 0.500  0.00
Ni1 0.250 0.250 0.250  0.05
Se1 0.000 0.000 0.000  0.01
Se2 0.750 0.750 0.750  0.01

=====

[5]
First-principles (GGA-PBEsol) data for Na2As2Pt after structural relaxation, as listed in the Alexandria database.

**Formation energy**: -0.472 eV per atom
**SG**: No. 127

abc: 4.859 6.376 6.376
angles: 90.00 90.00 90.00
Fractional coordinates of all 10 atoms:
Na1 0.500 0.176 0.676
Na2 0.500 0.676 0.824
Na3 0.500 0.824 0.324
Na4 0.500 0.324 0.176
As1 0.000 0.362 0.862
As2 0.000 0.862 0.638
As3 0.000 0.638 0.138
As4 0.000 0.138 0.362
Pt1 0.000 0.000 0.000
Pt2 0.000 0.500 0.500

=====

[6]
First-principles (GGA-PBEsol) data for CsScCd2 after structural relaxation, as listed in the Alexandria database.

**Formation energy**: 0.377 eV per atom
**SG**: No. 225

abc: 5.538 5.538 5.538
angles: 60.00 60.00 60.00
Fractional coordinates of all 4 atoms:
Cs1 0.500 0.500 0.500
Sc1 0.000 0.000 0.000
Cd1 0.250 0.250 0.250
Cd2 0.750 0.750 0.750